Here is Dy2Mo3H2Se2O17 after structural relaxation from the Alexandria database. Energies are from PBE with a Hubbard U.

Output
* E_tot: -6.71 eV/atom

```
data_Dy2Mo3H2Se2O17
_chemical_formula_sum 'Dy4 Mo6 H4 Se4 O34'
_symmetry_space_group_name_H-M 'P 1 21/m 1'
_symmetry_Int_Tables_number 11
_symmetry_space_group_name_Hall '-P 2yb'
_cell_length_a 6.844
_cell_length_b 7.311
_cell_length_c 14.361
_cell_angle_alpha 90.00
_cell_angle_beta 99.41
_cell_angle_gamma 90.00
loop_
_atom_site_label
_atom_site_type_symbol
_atom_site_fract_x
_atom_site_fract_y
_atom_site_fract_z
_atom_site_occupancy
Dy1 Dy 0.119 0.250 0.038 1
Dy2 Dy 0.242 0.750 0.378 1
Mo1 Mo 0.293 0.004 0.637 1
Mo2 Mo 0.363 0.750 0.832 1
H1 H 0.256 0.143 0.855 1
Se1 Se 0.246 0.250 0.307 1
Se2 Se 0.286 0.750 0.117 1
O1 O 0.048 0.074 0.642 1
O2 O 0.122 0.750 0.863 1
O3 O 0.146 0.574 0.056 1
O4 O 0.208 0.750 0.224 1
O5 O 0.210 0.250 0.888 1
O6 O 0.268 0.750 0.677 1
O7 O 0.270 0.567 0.518 1
O8 O 0.306 0.250 0.196 1
O9 O 0.371 0.504 0.786 1
O10 O 0.382 0.060 0.355 1
O11 O 0.409 0.250 0.630 1
O12 O 0.482 0.250 0.056 1
```